(1)
Computed, not measured: a geometry-optimized HgMo2Ir structure at the PBE level of DFT.

The structure in extended XYZ format:
```
4
Lattice="-1.939 1.939 4.352 1.939 -1.939 4.352 1.939 1.939 -4.352" Properties=species:S:1:pos:R:3 pbc="T T T"
Hg 0.000 0.000 0.000
Mo 1.939 0.000 2.176
Mo 0.000 1.939 2.176
Ir 0.000 0.000 4.352
```

Summary:
Density, Mg/m³: 14.83
Magnetization, μB per formula unit: 0.0
ΔE_f, meV/atom: 369
Volume, Å³/f.u.: 65
Crystal system: tetragonal

(2)
Computed, not measured: a geometry-optimized La2HoGe structure at the PBE level of DFT.

The structure in extended XYZ format:
```
4
Lattice="4.140 0.000 0.000 0.000 4.140 0.000 0.000 0.000 6.939" Properties=species:S:1:pos:R:3 pbc="T T T"
La 0.000 0.000 1.494
La 0.000 0.000 5.445
Ho 2.070 2.070 3.469
Ge 2.070 2.070 0.000
```

Summary:
Density, Mg/m³: 7.20
Magnetization, μB per formula unit: 0.0
ΔE_f, meV/atom: -336
Volume, Å³/f.u.: 119
Offset from the most stable computed form, meV/atom: 16
Crystal system: tetragonal

(3)
Computed, not measured: a geometry-optimized NpInIrRu structure at the PBE level of DFT.

The structure in extended XYZ format:
```
4
Lattice="0.000 3.325 3.325 3.325 0.000 3.325 3.325 3.325 0.000" Properties=species:S:1:pos:R:3 pbc="T T T"
Np 0.000 0.000 0.000
In 3.325 3.325 3.325
Ir 1.663 1.663 1.663
Ru 4.988 4.988 4.988
```

Summary:
Density, Mg/m³: 14.57
Magnetization, μB per formula unit: 3.0
ΔE_f, meV/atom: -166
Volume, Å³/f.u.: 74
Crystal system: cubic